# 1
First-principles (PBE+U) data for Cs3Mn2F9 after structural relaxation, as listed in the Alexandria database.

Lattice parameters (Å, degrees): 11.1335 11.1335 15.3915 90.00 90.00 120.00
Space group R-3c (No. 167, hexagonal axes)
One atom of each set of equivalent atoms:
Cs1 0.0000 0.3434 0.2500 (multiplicity 18)
Mn1 0.0000 0.0000 0.1542 (multiplicity 12)
F1 0.0000 0.1313 0.7500 (multiplicity 18)
F2 0.0025 0.1533 0.4034 (multiplicity 36)

Summary:
V   19.7 A^3/atom
Uncorrected energy   -0.1858 Ha/atom
Mass density   4.098 g cm⁻³

***

# 2
First-principles (PBE+U) data for Cs3MnF6 after structural relaxation, as listed in the Alexandria database.

Lattice parameters (Å, degrees): 6.5158 6.5158 10.4633 90.00 90.00 90.00
Space group I4/mmm (No. 139)
One atom of each set of equivalent atoms:
Cs1 0.0000 0.0000 0.0000 (multiplicity 2)
Cs2 0.0000 0.5000 0.2500 (multiplicity 4)
Mn1 0.0000 0.0000 0.5000 (multiplicity 2)
F1 0.0000 0.0000 0.2849 (multiplicity 4)
F2 0.0000 0.2896 0.5000 (multiplicity 8)

Summary:
V   22.2 A^3/atom
Uncorrected energy   -0.1764 Ha/atom
Mass density   4.244 g cm⁻³

***

# 3
First-principles (PBE+U) data for CsMnF6 after structural relaxation, as listed in the Alexandria database.

Lattice parameters (Å, degrees): 9.6028 9.6028 9.6028 90.00 90.00 90.00
Space group Fm-3m (No. 225)
One atom of each set of equivalent atoms:
Cs1 0.0000 0.0000 0.0000 (multiplicity 4)
Mn1 0.0000 0.0000 0.5000 (multiplicity 4)
F1 0.0000 0.0000 0.3089 (multiplicity 24)

Summary:
V   27.7 A^3/atom
Uncorrected energy   -0.1665 Ha/atom
Mass density   2.264 g cm⁻³

***

# 4
First-principles (PBE+U) data for Cs2Mn2F after structural relaxation, as listed in the Alexandria database.

Lattice parameters (Å, degrees): 3.9209 3.9209 21.7195 90.00 90.00 90.00
Space group I4/mmm (No. 139)
One atom of each set of equivalent atoms:
Cs1 0.0000 0.0000 0.0836 (multiplicity 4)
Mn1 0.0000 0.5000 0.2500 (multiplicity 4)
F1 0.0000 0.0000 0.5000 (multiplicity 2)

Summary:
V   33.4 A^3/atom
Offset from the most stable computed form   0 meV/atom
Uncorrected energy   -0.1517 Ha/atom
Mass density   3.926 g cm⁻³

***

# 5
First-principles (PBE+U) data for Cs3MnF5 after structural relaxation, as listed in the Alexandria database.

Lattice parameters (Å, degrees): 8.1249 8.1249 13.2431 90.00 90.00 90.00
Space group I4/mcm (No. 140)
One atom of each set of equivalent atoms:
Cs1 0.0000 0.0000 0.2500 (multiplicity 4)
Cs2 0.1804 0.3196 0.0000 (multiplicity 8)
Mn1 0.0000 0.5000 0.2500 (multiplicity 4)
F1 0.0000 0.0000 0.0000 (multiplicity 4)
F2 0.1371 0.3629 0.3431 (multiplicity 16)

Summary:
V   24.3 A^3/atom
Uncorrected energy   -0.1776 Ha/atom
Mass density   4.168 g cm⁻³

***

# 6
First-principles (PBE+U) data for Cs2MnF5 after structural relaxation, as listed in the Alexandria database.

Lattice parameters (Å, degrees): 6.5055 6.5055 4.3099 90.00 90.00 90.00
Space group P4/mmm (No. 123)
One atom of each set of equivalent atoms:
Cs1 0.0000 0.5000 0.0000 (multiplicity 2)
Mn1 0.0000 0.0000 0.5000 (multiplicity 1)
F1 0.0000 0.0000 0.0000 (multiplicity 1)
F2 0.2069 0.2069 0.5000 (multiplicity 4)

Summary:
V   22.8 A^3/atom
Uncorrected energy   -0.1853 Ha/atom
Mass density   3.785 g cm⁻³

***

# 7
First-principles (PBE+U) data for Cs3MnF7 after structural relaxation, as listed in the Alexandria database.

Lattice parameters (Å, degrees): 8.5496 8.5496 6.3157 90.00 90.00 90.00
Space group P4/mbm (No. 127)
One atom of each set of equivalent atoms:
Cs1 0.0000 0.0000 0.0000 (multiplicity 2)
Cs2 0.1938 0.3062 0.5000 (multiplicity 4)
Mn1 0.0000 0.5000 0.0000 (multiplicity 2)
F1 0.0000 0.0000 0.5000 (multiplicity 2)
F2 0.1073 0.6073 0.2092 (multiplicity 8)
F3 0.1530 0.3470 0.0000 (multiplicity 4)

Summary:
V   21.0 A^3/atom
Uncorrected energy   -0.1740 Ha/atom
Mass density   4.220 g cm⁻³

***

# 8
First-principles (PBE+U) data for CsMnF4 after structural relaxation, as listed in the Alexandria database.

Lattice parameters (Å, degrees): 14.6952 6.4550 5.1632 90.00 108.19 90.00
Space group C2/m (No. 12)
One atom of each set of equivalent atoms:
Cs1 0.1789 0.0000 0.2616 (multiplicity 4)
Mn1 0.0727 0.5000 0.8415 (multiplicity 4)
F1 0.0000 0.3064 0.0000 (multiplicity 4)
F2 0.1062 0.2943 0.6455 (multiplicity 8)
F3 0.1886 0.5000 0.1606 (multiplicity 4)

Summary:
V   19.4 A^3/atom
Uncorrected energy   -0.1909 Ha/atom
Mass density   3.766 g cm⁻³

***

# 9
First-principles (PBE+U) data for CsMn3F after structural relaxation, as listed in the Alexandria database.

Lattice parameters (Å, degrees): 6.8850 6.8850 6.8850 90.00 90.00 90.00
Space group Pm-3m (No. 221)
One atom of each set of equivalent atoms:
Cs1 0.0000 0.0000 0.0000 (multiplicity 1)
Mn1 0.0000 0.0000 0.5000 (multiplicity 3)
F1 0.5000 0.5000 0.5000 (multiplicity 1)

Summary:
V   65.3 A^3/atom
Uncorrected energy   -0.1374 Ha/atom
Mass density   1.611 g cm⁻³

***

# 10
First-principles (PBE+U) data for Cs2Mn2F5 after structural relaxation, as listed in the Alexandria database.

Lattice parameters (Å, degrees): 12.8395 4.3797 7.4183 90.00 102.64 90.00
Space group C2/m (No. 12)
One atom of each set of equivalent atoms:
Cs1 0.1010 0.0000 0.3459 (multiplicity 4)
Mn1 0.1510 0.5000 0.9136 (multiplicity 4)
F1 0.0000 0.5000 0.0000 (multiplicity 2)
F2 0.1237 0.5000 0.6323 (multiplicity 4)
F3 0.1703 0.0000 0.9710 (multiplicity 4)

Summary:
V   22.6 A^3/atom
Uncorrected energy   -0.1921 Ha/atom
Mass density   3.840 g cm⁻³

***

# 11
First-principles (PBE+U) data for Cs4MnF6 after structural relaxation, as listed in the Alexandria database.

Lattice parameters (Å, degrees): 11.3127 11.3127 14.3021 90.00 90.00 120.00
Space group R-3c (No. 167, hexagonal axes)
One atom of each set of equivalent atoms:
Cs1 0.0000 0.0000 0.2500 (multiplicity 6)
Cs2 0.0000 0.3664 0.2500 (multiplicity 18)
Mn1 0.0000 0.0000 0.0000 (multiplicity 6)
F1 0.0192 0.1668 0.4117 (multiplicity 36)

Summary:
V   24.0 A^3/atom
Uncorrected energy   -0.1729 Ha/atom
Mass density   4.403 g cm⁻³

***

# 12
First-principles (PBE+U) data for CsMnMoF6 after structural relaxation, as listed in the Alexandria database.

Lattice parameters (Å, degrees): 7.7683 7.8629 11.1669 90.00 90.00 90.00
Space group Imma (No. 74)
One atom of each set of equivalent atoms:
Cs1 0.0000 0.2500 0.1000 (multiplicity 4)
Mn1 0.2500 0.2500 0.7500 (multiplicity 4)
Mo1 0.0000 0.0000 0.5000 (multiplicity 4)
F1 0.0000 0.2500 0.4287 (multiplicity 4)
F2 0.0000 0.2500 0.8184 (multiplicity 4)
F3 0.1983 0.0512 0.6212 (multiplicity 16)

Summary:
V   18.9 A^3/atom
Uncorrected energy   -0.2087 Ha/atom
Mass density   3.874 g cm⁻³

***

Question: Which value of V does entry 12 give?
Answer: 18.9 A^3/atom

***

Question: What is the formula in the first record?
Answer: Cs3Mn2F9

***

Question: Which formula does entry 1 have?
Answer: Cs3Mn2F9

***

Question: Number 11 is which compound?
Answer: Cs4MnF6